Record 1
CePm2DyY | PBE | relaxed

Computed properties:
The calculated volume is 332.23 Å³/cell. The calculation puts the total magnetization at 1.50 μB per formula unit. The formation energy comes out at 0.289 eV/atom.

CIF file:
```
data_CePm2DyY
_chemical_formula_sum 'Ce2 Pm4 Dy2 Y2'
_space_group_name_H-M_alt 'P 1'
_space_group_IT_number 1
_cell_length_a 5.9822
_cell_length_b 7.6206
_cell_length_c 7.2878
_cell_angle_alpha 90.00
_cell_angle_beta 90.00
_cell_angle_gamma 90.00
loop_
_space_group_symop_operation_xyz
'x,y,z'
loop_
_atom_site_label
_atom_site_fract_x
_atom_site_fract_y
_atom_site_fract_z
Ce1 0.0000 0.0000 0.0000
Ce2 0.5000 0.0000 0.0000
Pm1 0.2500 0.2921 0.3139
Pm2 0.2500 0.7079 0.3139
Pm3 0.7500 0.2921 0.6861
Pm4 0.7500 0.7079 0.6861
Dy1 0.2500 0.5000 0.8501
Dy2 0.7500 0.5000 0.1499
Y1 0.2500 0.0000 0.6107
Y2 0.7500 0.0000 0.3893
```

Record 2
CePm2Dy5Y | PBE | relaxed

Computed properties:
The calculated volume is 577.04 Å³/cell. The calculation puts the total magnetization at 0.94 μB per formula unit. The formation energy comes out at 0.267 eV/atom.

CIF file:
```
data_CePm2Dy5Y
_chemical_formula_sum 'Ce2 Pm4 Dy10 Y2'
_space_group_name_H-M_alt 'P 1'
_space_group_IT_number 1
_cell_length_a 9.9061
_cell_length_b 9.9061
_cell_length_c 9.9061
_cell_angle_alpha 128.64
_cell_angle_beta 128.64
_cell_angle_gamma 75.60
loop_
_space_group_symop_operation_xyz
'x,y,z'
loop_
_atom_site_label
_atom_site_fract_x
_atom_site_fract_y
_atom_site_fract_z
Ce1 0.2500 0.7500 0.5000
Ce2 0.7500 0.2500 0.5000
Pm1 0.1212 0.6212 0.7425
Pm2 0.3788 0.1212 0.5000
Pm3 0.6212 0.8788 0.5000
Pm4 0.8788 0.3788 0.2575
Dy1 0.0000 0.0000 0.0000
Dy2 0.0614 0.1572 0.5000
Dy3 0.1572 0.6572 0.0958
Dy4 0.3428 0.4386 0.5000
Dy5 0.4386 0.9386 0.0958
Dy6 0.5000 0.5000 0.0000
Dy7 0.5614 0.0614 0.9042
Dy8 0.6572 0.5614 0.5000
Dy9 0.8428 0.3428 0.9042
Dy10 0.9386 0.8428 0.5000
Y1 0.2500 0.2500 0.0000
Y2 0.7500 0.7500 0.0000
```

Record 3
Ce2PmDy6Y3 | PBE | relaxed

Computed properties:
The calculated volume is 380.68 Å³/cell. The calculation puts the total magnetization at 1.81 μB per formula unit. The formation energy comes out at 0.051 eV/atom.

CIF file:
```
data_Ce2PmDy6Y3
_chemical_formula_sum 'Ce2 Pm1 Dy6 Y3'
_space_group_name_H-M_alt 'P 1'
_space_group_IT_number 1
_cell_length_a 6.1565
_cell_length_b 6.1565
_cell_length_c 11.7777
_cell_angle_alpha 95.00
_cell_angle_beta 95.00
_cell_angle_gamma 120.00
loop_
_space_group_symop_operation_xyz
'x,y,z'
loop_
_atom_site_label
_atom_site_fract_x
_atom_site_fract_y
_atom_site_fract_z
Ce1 0.1667 0.8333 0.0000
Ce2 0.8333 0.1667 0.0000
Pm1 0.5000 0.5000 0.0000
Dy1 0.0803 0.4165 0.7510
Dy2 0.2473 0.2473 0.2490
Dy3 0.4165 0.0803 0.7510
Dy4 0.5835 0.9197 0.2490
Dy5 0.7527 0.7527 0.7510
Dy6 0.9197 0.5835 0.2490
Y1 0.0000 0.0000 0.5000
Y2 0.3337 0.6663 0.5000
Y3 0.6663 0.3337 0.5000
```

Computed values of D(E_F) (unit: states/eV/cell) for the preceding records, in sequence: 21.49, 31.10, 22.85.